Record 1
The following is a GGA-PBE calculation of a relaxed structure of Ho5ErTl8, from Alexandria.

Cell: 9.2458 9.2458 9.2222 Å, 90.00 90.00 90.00°
Last column: nearest neighbours and their distance in Å.
Space group I-4 (No. 82)
Symmetry-distinct sites (fractional):
1 Ho 0.0000 0.0000 0.0000 x2  8 Tl 3.19-3.21
2 Ho 0.1242 0.2472 0.6241 x8  8 Tl 3.17-3.23
3 Er 0.0000 0.5000 0.2500 x2  8 Tl 3.17-3.21
4 Tl 0.0801 0.3324 0.9565 x8  5 Ho 3.19-3.23, 1 Er 3.21, 3 Tl 3.43-3.46
5 Tl 0.0834 0.1697 0.2916 x8  5 Ho 3.17-3.21, 1 Er 3.17, 3 Tl 3.44-3.50

- formation energy (meV/atom) = -213
- crystal system = tetragonal



Record 2
The following is a GGA-PBE calculation of a relaxed structure of Te2AsRu, from Alexandria.

Cell: 4.9572 4.9572 3.3472 Å, 90.00 90.00 90.00°
Last column: nearest neighbours and their distance in Å.
Space group P4/mmm (No. 123)
Symmetry-distinct sites (fractional):
1 Te 0.0000 0.5000 0.0000 x2  4 Ru 2.99, 4 As 2.99, 2 Te 3.35
2 As 0.0000 0.0000 0.5000 x1  8 Te 2.99, 2 As 3.35
3 Ru 0.5000 0.5000 0.5000 x1  8 Te 2.99, 2 Ru 3.35

- uncorrected formation energy (eV/atom) = 0.52
- crystal system = tetragonal



Record 3
The following is a GGA-PBE calculation of a relaxed structure of Cr2HgPd2, from Alexandria.

Cell: 7.5667 7.5667 2.6907 Å, 90.00 90.00 90.00°
Last column: nearest neighbours and their distance in Å.
Space group P4/mbm (No. 127)
Symmetry-distinct sites (fractional):
1 Cr 0.1697 0.3303 0.0000 x4  6 Pd 2.57-2.63, 2 Cr 2.69
2 Hg 0.0000 0.0000 0.5000 x2  2 Hg 2.69, 4 Pd 2.99
3 Pd 0.1255 0.6255 0.5000 x4  6 Cr 2.57-2.63, 3 Pd 2.69

- formation energy (meV/atom) = 427
- energy above the lowest structure with this stoichiometry (eV per atom) = 0.187
- crystal system = tetragonal



Record 4
The following is a GGA-PBE calculation of a relaxed structure of Sm4Hg5Ir2, from Alexandria.

Cell: 7.7801 3.7300 9.6476 Å, 90.00 94.80 90.00°
Last column: nearest neighbours and their distance in Å.
Space group P2/m (No. 10)
Symmetry-distinct sites (fractional):
1 Sm 0.1807 0.0000 0.3493 x2  2 Ir 2.81
2 Sm 0.2175 0.0000 0.9399 x2  4 Ir 2.96-3.01
3 Hg 0.1693 0.5000 0.6444 x2  1 Ir 2.95, 2 Hg 3.03-3.28
4 Hg 0.4574 0.5000 0.1696 x2  1 Ir 2.94, 2 Hg 3.18-3.28
5 Hg 0.5000 0.5000 0.5000 x1  4 Hg 3.03-3.18, 4 Sm 3.34
6 Ir 0.0776 0.5000 0.1402 x2  6 Sm 2.81-3.01, 1 Ir 2.87, 2 Hg 2.94-2.95

- formation energy (meV/atom) = -532
- crystal system = monoclinic



Record 5
The following is a GGA-PBE calculation of a relaxed structure of LiTbAs2, from Alexandria.

Cell: 3.9014 3.9014 10.4876 Å, 90.00 90.00 90.00°
Last column: nearest neighbours and their distance in Å.
Space group P4/nmm (No. 129, origin choice 2)
Symmetry-distinct sites (fractional):
1 Li 0.2500 0.7500 0.0000 x2  4 As 2.61, 4 Li 2.76
2 Tb 0.2500 0.2500 0.2734 x2  8 As 2.98-3.07
3 As 0.2500 0.2500 0.8352 x2  4 Li 2.61
4 As 0.2500 0.7500 0.5000 x2  4 As 2.76, 4 Tb 3.07

- formation energy (meV/atom) = -1002
- crystal system = tetragonal



Record 6
The following is a GGA-PBE calculation of a relaxed structure of ScSiSnW2, from Alexandria.

Cell: 4.5664 4.5664 4.8358 Å, 90.00 90.00 90.00°
Last column: nearest neighbours and their distance in Å.
Space group P4/mmm (No. 123)
Symmetry-distinct sites (fractional):
1 Sc 0.0000 0.0000 0.0000 x1  2 Si 2.42
2 Si 0.0000 0.0000 0.5000 x1  4 W 2.28, 2 Sc 2.42
3 Sn 0.5000 0.5000 0.0000 x1  4 Sc 3.23, 8 W 3.33
4 W 0.0000 0.5000 0.5000 x2  2 Si 2.28

- uncorrected formation energy (eV/atom) = 0.71
- crystal system = tetragonal